Entry 1:
The following is a DFT calculation (PBE) of a geometry-optimized La2PmGe3Pt12 structure.

total magnetic moment: 0.0 μB per formula unit
energy: -108.33 eV/f.u.

a = 8.4572 Å, b = 8.4572 Å, c = 18.5216 Å
α = 90.00°, β = 90.00°, γ = 120.00°
Closest atoms and distances in Å follow each position.
Space group R-3m (No. 166, hexagonal axes)
Asymmetric unit:
La 0.0000 0.0000 0.0989  6 Pt 2.87-2.89
Pm 0.0000 0.0000 0.5000  6 Pt 2.78
Ge 0.0000 0.5000 0.0000  6 Pt 2.45-2.48
Pt 0.0318 0.5159 0.3736  2 Ge 2.45
Pt 0.0365 0.5182 0.8667  1 Ge 2.48, 1 Pm 2.78

---

Entry 2:
The following is a DFT calculation (PBE) of a geometry-optimized La2PmGe4Pt3 structure.

total magnetic moment: 0.0 μB per formula unit
energy: -60.46 eV/f.u.

a = 4.3900 Å, b = 4.3900 Å, c = 11.3537 Å
α = 90.00°, β = 90.00°, γ = 90.00°
Closest atoms and distances in Å follow each position.
Space group P-4m2 (No. 115)
Asymmetric unit:
La 0.0000 0.5000 0.2273  8 Ge 3.33-3.39, 4 Pt 3.36
Pm 0.0000 0.0000 0.5000  4 Ge 2.90, 4 Pt 3.10
Ge 0.0000 0.0000 0.0000  4 Pt 2.54
Ge 0.0000 0.5000 0.6671  1 Pt 2.49
Ge 0.5000 0.5000 0.0000  4 Pt 2.54
Pt 0.0000 0.5000 0.8867  5 Ge 2.49-2.54
Pt 0.5000 0.5000 0.5000  4 Ge 2.90, 4 Pm 3.10